# Ba4TlSi (GGA-PBE, relaxed)
# - Total DFT energy (no corrections): -2.086 eV/atom
data_Ba4TlSi
_chemical_formula_sum 'Ba16 Tl4 Si4'
_space_group_name_H-M_alt 'F -4 3 m'
_space_group_IT_number 216
_space_group_name_Hall 'F -4 2 3'
_cell_length_a 10.0996
_cell_length_b 10.0996
_cell_length_c 10.0996
_cell_angle_alpha 90.00
_cell_angle_beta 90.00
_cell_angle_gamma 90.00
loop_
_atom_site_label
_atom_site_type_symbol
_atom_site_fract_x
_atom_site_fract_y
_atom_site_fract_z
_atom_site_occupancy
Ba1 Ba 0.1240 0.1240 0.1240 1
Tl1 Tl 0.0000 0.0000 0.5000 1
Si1 Si 0.2500 0.2500 0.7500 1